Computed, not measured: crystalline Pu3Cr5Se12 at its relaxed geometry at the PBE level of DFT.

Formation energy from raw total energies ... -714.4 meV per atom
SG ... No. 230

a b c (Å): 13.5918 13.5918 13.5918
angles (deg): 109.47 109.47 109.47
Fractional coordinates of all 80 atoms:
Pu  0.1250  0.2500  0.3750
Pu  0.1250  0.3750  0.7500
Pu  0.2500  0.3750  0.1250
Pu  0.2500  0.8750  0.6250
Pu  0.3750  0.1250  0.2500
Pu  0.3750  0.7500  0.1250
Pu  0.6250  0.2500  0.8750
Pu  0.6250  0.8750  0.7500
Pu  0.7500  0.1250  0.3750
Pu  0.7500  0.6250  0.8750
Pu  0.8750  0.6250  0.2500
Pu  0.8750  0.7500  0.6250
Cr  0.0000  0.0000  0.0000
Cr  0.0000  0.0000  0.5000
Cr  0.0000  0.5000  0.0000
Cr  0.0000  0.5000  0.5000
Cr  0.1250  0.7500  0.8750
Cr  0.1250  0.8750  0.2500
Cr  0.2500  0.1250  0.8750
Cr  0.2500  0.6250  0.3750
Cr  0.3750  0.2500  0.6250
Cr  0.3750  0.6250  0.7500
Cr  0.5000  0.0000  0.0000
Cr  0.5000  0.0000  0.5000
Cr  0.5000  0.5000  0.0000
Cr  0.5000  0.5000  0.5000
Cr  0.6250  0.3750  0.2500
Cr  0.6250  0.7500  0.3750
Cr  0.7500  0.3750  0.6250
Cr  0.7500  0.8750  0.1250
Cr  0.8750  0.1250  0.7500
Cr  0.8750  0.2500  0.1250
Se  0.0306  0.2085  0.1198
Se  0.0306  0.3222  0.9108
Se  0.0892  0.6198  0.4113
Se  0.0887  0.7085  0.6778
Se  0.0887  0.8802  0.4108
Se  0.0892  0.9694  0.6778
Se  0.1198  0.0306  0.2085
Se  0.1198  0.5892  0.9113
Se  0.1778  0.2085  0.5887
Se  0.1778  0.4694  0.5892
Se  0.2085  0.1198  0.0306
Se  0.2085  0.5887  0.1778
Se  0.2915  0.3222  0.9113
Se  0.2915  0.4694  0.3802
Se  0.3222  0.9108  0.0306
Se  0.3222  0.9113  0.2915
Se  0.3802  0.2915  0.4694
Se  0.3802  0.5887  0.9108
Se  0.4113  0.0892  0.6198
Se  0.4108  0.0887  0.8802
Se  0.4108  0.8222  0.5306
Se  0.4113  0.8222  0.7915
Se  0.4694  0.3802  0.2915
Se  0.4694  0.5892  0.1778
Se  0.5306  0.4108  0.8222
Se  0.5306  0.6198  0.7085
Se  0.5887  0.1778  0.2085
Se  0.5892  0.1778  0.4694
Se  0.5892  0.9113  0.1198
Se  0.5887  0.9108  0.3802
Se  0.6198  0.4113  0.0892
Se  0.6198  0.7085  0.5306
Se  0.6778  0.0887  0.7085
Se  0.6778  0.0892  0.9694
Se  0.7085  0.5306  0.6198
Se  0.7085  0.6778  0.0887
Se  0.7915  0.4113  0.8222
Se  0.7915  0.8802  0.9694
Se  0.8222  0.5306  0.4108
Se  0.8222  0.7915  0.4113
Se  0.8802  0.4108  0.0887
Se  0.8802  0.9694  0.7915
Se  0.9108  0.0306  0.3222
Se  0.9113  0.1198  0.5892
Se  0.9113  0.2915  0.3222
Se  0.9108  0.3802  0.5887
Se  0.9694  0.6778  0.0892
Se  0.9694  0.7915  0.8802

---

Computed, not measured: crystalline DyGa3NiOs at its relaxed geometry at the PBE level of DFT.

ΔH_f (0 K) ... -0.232 eV/atom
SG ... No. 63

a b c (Å): 6.5240 6.5240 5.5745
angles (deg): 90.00 90.00 107.22
Fractional coordinates of all 12 atoms:
Dy  0.2068  0.7932  0.7500
Dy  0.7932  0.2068  0.2500
Ga  0.2496  0.2496  0.0000
Ga  0.2496  0.2496  0.5000
Ga  0.3116  0.6884  0.2500
Ga  0.6884  0.3116  0.7500
Ga  0.7504  0.7504  0.0000
Ga  0.7504  0.7504  0.5000
Ni  0.4677  0.5323  0.7500
Ni  0.5323  0.4677  0.2500
Os  0.0823  0.9177  0.2500
Os  0.9177  0.0823  0.7500

---

Computed, not measured: crystalline CeNp2Se3 at its relaxed geometry at the PBE level of DFT.

Formation energy from raw total energies ... -1314.2 meV per atom
SG ... No. 71

a b c (Å): 7.1512 7.1512 7.1512
angles (deg): 146.22 131.75 60.20
Fractional coordinates of all 6 atoms:
Ce  0.0000  0.0000  0.0000
Np  0.3346  0.3346  0.0000
Np  0.6654  0.6654  0.0000
Se  0.1720  0.6720  0.5000
Se  0.5000  0.0000  0.5000
Se  0.8280  0.3280  0.5000

---

Computed, not measured: crystalline TcSe at its relaxed geometry at the PBE level of DFT.

Polymorph energy (0 for the lowest one) ... 0.351 eV/atom
Formation energy from raw total energies ... 145.2 meV per atom
SG ... No. 59

a b c (Å): 3.3413 13.0986 5.6508
angles (deg): 90.00 90.00 90.00
Fractional coordinates of all 12 atoms:
Tc  0.2500  0.0746  0.0714
Tc  0.2500  0.4254  0.0714
Tc  0.2500  0.7500  0.5182
Tc  0.7500  0.2500  0.4818
Tc  0.7500  0.5746  0.9286
Tc  0.7500  0.9254  0.9286
Se  0.2500  0.2500  0.1896
Se  0.2500  0.6035  0.2398
Se  0.2500  0.8965  0.2398
Se  0.7500  0.1035  0.7602
Se  0.7500  0.3965  0.7602
Se  0.7500  0.7500  0.8104

---

Computed, not measured: crystalline AcLaTlHg at its relaxed geometry at the PBE level of DFT.

ΔH_f (0 K) ... -0.424 eV/atom
Polymorph energy (0 for the lowest one) ... 0.008 eV/atom
SG ... No. 216

a b c (Å): 5.6949 5.6949 5.6949
angles (deg): 60.00 60.00 60.00
Fractional coordinates of all 4 atoms:
Ac  0.0000  0.0000  0.0000
La  0.5000  0.5000  0.5000
Tl  0.2500  0.2500  0.2500
Hg  0.7500  0.7500  0.7500

---

Computed, not measured: crystalline Ba2Sn5Pt3 at its relaxed geometry at the PBE level of DFT.

ΔH_f (0 K) ... -0.668 eV/atom
Polymorph energy (0 for the lowest one) ... 0.000 eV/atom
SG ... No. 36

a b c (Å): 14.4729 14.4729 7.5917
angles (deg): 90.00 90.00 161.28
Fractional coordinates of all 20 atoms:
Ba  0.0223  0.9777  0.5000
Ba  0.3218  0.6782  0.5133
Ba  0.6782  0.3218  0.0133
Ba  0.9777  0.0223  0.0000
Sn  0.1010  0.8990  0.8727
Sn  0.2050  0.7950  0.3203
Sn  0.2108  0.7892  0.7264
Sn  0.3764  0.6236  0.9891
Sn  0.4421  0.5579  0.6562
Sn  0.5579  0.4421  0.1562
Sn  0.6236  0.3764  0.4891
Sn  0.7892  0.2108  0.2264
Sn  0.7950  0.2050  0.8203
Sn  0.8990  0.1010  0.3727
Pt  0.1108  0.8892  0.2385
Pt  0.2788  0.7212  0.0220
Pt  0.4368  0.5632  0.2876
Pt  0.5632  0.4368  0.7876
Pt  0.7212  0.2788  0.5220
Pt  0.8892  0.1108  0.7385

---

Computed, not measured: crystalline YMgHgPb at its relaxed geometry at the PBE level of DFT.

ΔH_f (0 K) ... -0.311 eV/atom
Polymorph energy (0 for the lowest one) ... 0.077 eV/atom
SG ... No. 216

a b c (Å): 5.2367 5.2367 5.2367
angles (deg): 60.00 60.00 60.00
Fractional coordinates of all 4 atoms:
Y  0.0000  0.0000  0.0000
Mg  0.5000  0.5000  0.5000
Hg  0.7500  0.7500  0.7500
Pb  0.2500  0.2500  0.2500

---

Computed, not measured: crystalline RbCa2TlS at its relaxed geometry at the PBE level of DFT.

Formation energy from raw total energies ... -7.7 meV per atom
SG ... No. 123

a b c (Å): 5.9538 5.9538 6.0864
angles (deg): 90.00 90.00 90.00
Fractional coordinates of all 5 atoms:
Rb  0.0000  0.0000  0.0000
Ca  0.0000  0.5000  0.5000
Ca  0.5000  0.0000  0.5000
Tl  0.5000  0.5000  0.5000
S  0.5000  0.5000  0.0000

---

Computed, not measured: crystalline TbCu2SiNi2 at its relaxed geometry at the PBE level of DFT.

Formation energy from raw total energies ... -85.2 meV per atom
SG ... No. 123

a b c (Å): 4.2264 4.2264 5.4798
angles (deg): 90.00 90.00 90.00
Fractional coordinates of all 6 atoms:
Tb  0.0000  0.0000  0.0000
Cu  0.5000  0.5000  0.2346
Cu  0.5000  0.5000  0.7654
Si  0.0000  0.0000  0.5000
Ni  0.0000  0.5000  0.5000
Ni  0.5000  0.0000  0.5000

---

Computed, not measured: crystalline La2Al4Ga3Ag at its relaxed geometry at the PBE level of DFT.

ΔH_f (0 K) ... -0.471 eV/atom
SG ... No. 115

a b c (Å): 4.3843 4.3843 10.8240
angles (deg): 90.00 90.00 90.00
Fractional coordinates of all 10 atoms:
La  0.0000  0.5000  0.2502
La  0.5000  0.0000  0.7498
Al  0.0000  0.0000  0.0000
Al  0.0000  0.5000  0.6313
Al  0.5000  0.0000  0.3687
Al  0.5000  0.5000  0.0000
Ga  0.0000  0.5000  0.8643
Ga  0.5000  0.0000  0.1357
Ga  0.5000  0.5000  0.5000
Ag  0.0000  0.0000  0.5000

---

Computed, not measured: crystalline NaCd2TeOs at its relaxed geometry at the PBE level of DFT.

Polymorph energy (0 for the lowest one) ... 0.000 eV/atom
Formation energy from raw total energies ... 288.2 meV per atom
SG ... No. 123

a b c (Å): 5.3407 5.3407 5.0600
angles (deg): 90.00 90.00 90.00
Fractional coordinates of all 5 atoms:
Na  0.0000  0.0000  0.0000
Cd  0.0000  0.5000  0.5000
Cd  0.5000  0.0000  0.5000
Te  0.5000  0.5000  0.0000
Os  0.5000  0.5000  0.5000

---

Computed, not measured: crystalline SrPrInAg at its relaxed geometry at the PBE level of DFT.

ΔH_f (0 K) ... -0.333 eV/atom
Polymorph energy (0 for the lowest one) ... 0.021 eV/atom
SG ... No. 216

a b c (Å): 5.5411 5.5411 5.5411
angles (deg): 60.00 60.00 60.00
Fractional coordinates of all 4 atoms:
Sr  0.0000  0.0000  0.0000
Pr  0.5000  0.5000  0.5000
In  0.7500  0.7500  0.7500
Ag  0.2500  0.2500  0.2500

---

Computed, not measured: crystalline AsIr3 at its relaxed geometry at the PBE level of DFT.

ΔH_f (0 K) ... 0.161 eV/atom
Polymorph energy (0 for the lowest one) ... 0.084 eV/atom
SG ... No. 65

a b c (Å): 4.7253 4.7253 2.8237
angles (deg): 90.00 90.00 108.23
Fractional coordinates of all 4 atoms:
As  0.0000  0.0000  0.0000
Ir  0.0000  0.5000  0.5000
Ir  0.5000  0.0000  0.5000
Ir  0.5000  0.5000  0.0000

---

Computed, not measured: crystalline NdSm5Ho2Sc at its relaxed geometry at the PBE level of DFT.

ΔH_f (0 K) ... 0.165 eV/atom
SG ... No. 36

a b c (Å): 10.4390 10.4390 10.4686
angles (deg): 90.00 90.00 148.76
Fractional coordinates of all 18 atoms:
Nd  0.0899  0.9101  0.5000
Nd  0.9101  0.0899  0.0000
Sm  0.0168  0.9832  0.7849
Sm  0.1243  0.8757  0.0628
Sm  0.2018  0.7982  0.7499
Sm  0.2235  0.7765  0.3645
Sm  0.4826  0.5174  0.0597
Sm  0.5174  0.4826  0.5597
Sm  0.7765  0.2235  0.8645
Sm  0.7982  0.2018  0.2499
Sm  0.8757  0.1243  0.5628
Sm  0.9832  0.0168  0.2849
Ho  0.3848  0.6152  0.7795
Ho  0.3873  0.6127  0.3548
Ho  0.6127  0.3873  0.8548
Ho  0.6152  0.3848  0.2795
Sc  0.3049  0.6951  0.0579
Sc  0.6951  0.3049  0.5579

---

Computed, not measured: crystalline SrMn2Fe at its relaxed geometry at the PBE level of DFT.

ΔH_f (0 K) ... 0.850 eV/atom
SG ... No. 139

a b c (Å): 5.1402 5.1402 5.1402
angles (deg): 130.94 130.94 71.91
Fractional coordinates of all 4 atoms:
Sr  0.0000  0.0000  0.0000
Mn  0.2500  0.7500  0.5000
Mn  0.7500  0.2500  0.5000
Fe  0.5000  0.5000  0.0000

---

Computed, not measured: crystalline PuUHgBi at its relaxed geometry at the PBE level of DFT.

ΔH_f (0 K) ... 0.027 eV/atom
SG ... No. 216

a b c (Å): 5.3803 5.3803 5.3803
angles (deg): 60.00 60.00 60.00
Fractional coordinates of all 4 atoms:
Pu  0.0000  0.0000  0.0000
U  0.5000  0.5000  0.5000
Hg  0.7500  0.7500  0.7500
Bi  0.2500  0.2500  0.2500

---

Computed, not measured: crystalline SrMnRh4 at its relaxed geometry at the PBE level of DFT.

ΔH_f (0 K) ... 0.020 eV/atom
SG ... No. 216

a b c (Å): 5.3133 5.3133 5.3133
angles (deg): 60.00 60.00 60.00
Fractional coordinates of all 6 atoms:
Sr  0.0000  0.0000  0.0000
Mn  0.7500  0.7500  0.7500
Rh  0.3757  0.3757  0.3757
Rh  0.3757  0.3757  0.8728
Rh  0.3757  0.8728  0.3757
Rh  0.8728  0.3757  0.3757

---

Computed, not measured: crystalline Ti2TlPt at its relaxed geometry at the PBE level of DFT.

ΔH_f (0 K) ... -0.221 eV/atom
Polymorph energy (0 for the lowest one) ... 0.000 eV/atom
SG ... No. 225

a b c (Å): 4.6700 4.6700 4.6700
angles (deg): 60.00 60.00 60.00
Fractional coordinates of all 4 atoms:
Ti  0.2500  0.2500  0.2500
Ti  0.7500  0.7500  0.7500
Tl  0.0000  0.0000  0.0000
Pt  0.5000  0.5000  0.5000

---

Computed, not measured: crystalline CsHf2InAu at its relaxed geometry at the PBE level of DFT.

ΔH_f (0 K) ... 0.835 eV/atom
SG ... No. 123

a b c (Å): 5.3898 5.3898 5.4096
angles (deg): 90.00 90.00 90.00
Fractional coordinates of all 5 atoms:
Cs  0.0000  0.0000  0.0000
Hf  0.0000  0.5000  0.5000
Hf  0.5000  0.0000  0.5000
In  0.5000  0.5000  0.0000
Au  0.5000  0.5000  0.5000

---

Computed, not measured: crystalline Re3MoAu at its relaxed geometry at the PBE level of DFT.

ΔH_f (0 K) ... 2.258 eV/atom
Polymorph energy (0 for the lowest one) ... 0.000 eV/atom
SG ... No. 221

a b c (Å): 4.6805 4.6805 4.6805
angles (deg): 90.00 90.00 90.00
Fractional coordinates of all 5 atoms:
Re  0.0000  0.0000  0.5000
Re  0.0000  0.5000  0.0000
Re  0.5000  0.0000  0.0000
Mo  0.0000  0.0000  0.0000
Au  0.5000  0.5000  0.5000

---

Computed, not measured: crystalline SrMg2Sb2 at its relaxed geometry at the PBE level of DFT.

Polymorph energy (0 for the lowest one) ... 0.104 eV/atom
Formation energy from raw total energies ... -655.2 meV per atom
SG ... No. 139

a b c (Å): 7.9900 7.9900 7.9900
angles (deg): 147.24 147.24 47.01
Fractional coordinates of all 5 atoms:
Sr  0.0000  0.0000  0.0000
Mg  0.2500  0.7500  0.5000
Mg  0.7500  0.2500  0.5000
Sb  0.3745  0.3745  0.0000
Sb  0.6255  0.6255  0.0000

---

Computed, not measured: crystalline CsReTe2I at its relaxed geometry at the PBE level of DFT.

Formation energy from raw total energies ... 27.2 meV per atom
SG ... No. 123

a b c (Å): 5.2786 5.2786 6.1692
angles (deg): 90.00 90.00 90.00
Fractional coordinates of all 5 atoms:
Cs  0.0000  0.0000  0.0000
Re  0.5000  0.5000  0.5000
Te  0.0000  0.5000  0.5000
Te  0.5000  0.0000  0.5000
I  0.5000  0.5000  0.0000

---

no.,N(E_F) (states/eV/cell),mass density (g cm⁻³)
1,177.01,6.66
2,4.80,9.09
3,19.97,9.40
4,11.15,7.13
5,4.54,9.80
6,8.90,9.46
7,2.32,8.52
8,3.67,3.09
9,5.59,7.32
10,2.73,5.61
11,5.67,6.51
12,3.66,6.23
13,2.22,18.07
14,28.63,7.13
15,3.49,5.55
16,12.50,13.44
17,9.24,8.68
18,7.50,11.42
19,4.94,8.47
20,6.68,13.79
21,0.00,4.24
22,3.96,6.77